No. 1
PBr2Cl | PBE-GGA | relaxed

Cell: 4.933 4.933 4.933 Å, 60.00 60.00 60.00°
Positions (direct):
Br 0.250 0.250 0.250
P 0.000 0.000 0.000
Cl 0.500 0.500 0.500
Br 0.750 0.750 0.750

- Uncorrected formation energy: 0.6563 eV per atom
- Symmetry: Fm-3m, No. 225
- Distance to the lowest polymorph of the same formula: 1125 meV/atom

---

No. 2
PBrCl2 | PBE-GGA | relaxed

Cell: 3.308 3.308 8.277 Å, 90.00 90.00 90.00°
Positions (direct):
Cl 0.500 0.500 0.326
Cl 0.000 0.000 0.958
P 0.000 0.000 0.516
Br 0.500 0.500 0.700

- Uncorrected formation energy: 0.5302 eV per atom
- Symmetry: P4mm, No. 99
- Distance to the lowest polymorph of the same formula: 950 meV/atom

---

No. 3
PBrCl2 | PBE-GGA | relaxed

Cell: 4.229 4.412 4.412 Å, 90.00 90.00 90.00°
Positions (direct):
Br 0.500 0.000 0.500
Cl 0.000 0.500 0.500
P 0.500 0.500 0.000
Cl 0.000 0.000 0.000

- Uncorrected formation energy: 0.8431 eV per atom
- Symmetry: P4/mmm, No. 123
- Distance to the lowest polymorph of the same formula: 1263 meV/atom

---

No. 4
PBrCl | PBE-GGA | relaxed

Cell: 6.770 6.770 6.770 Å, 149.09 145.25 47.19°
Positions (direct):
P 0.781 0.781 0.000
Br 0.957 0.957 0.000
Cl 0.262 0.262 0.000

- Uncorrected formation energy: 0.0430 eV per atom
- Symmetry: Imm2, No. 44
- Distance to the lowest polymorph of the same formula: 487 meV/atom

---

No. 5
PBr2Cl | PBE-GGA | relaxed

Cell: 3.826 3.826 7.862 Å, 75.85 75.85 60.11°
Positions (direct):
Br 0.984 0.984 0.048
Br 0.516 0.516 0.452
P 0.250 0.250 0.250
Cl 0.750 0.750 0.750

- Uncorrected formation energy: 0.1966 eV per atom
- Symmetry: C2/m, No. 12
- Distance to the lowest polymorph of the same formula: 665 meV/atom

---

No. 6
PBr3Cl | PBE-GGA | relaxed

Cell: 5.080 5.080 5.080 Å, 90.00 90.00 90.00°
Positions (direct):
Br 0.000 0.500 0.000
P 0.000 0.000 0.000
Br 0.000 0.000 0.500
Cl 0.500 0.500 0.500
Br 0.500 0.000 0.000

- Uncorrected formation energy: 0.2175 eV per atom
- Symmetry: Pm-3m, No. 221
- Distance to the lowest polymorph of the same formula: 528 meV/atom

---

No. 7
PBrCl3 | PBE-GGA | relaxed

Cell: 4.854 4.854 4.854 Å, 90.00 90.00 90.00°
Positions (direct):
Cl 0.500 0.000 0.000
Br 0.500 0.500 0.500
Cl 0.000 0.500 0.000
P 0.000 0.000 0.000
Cl 0.000 0.000 0.500

- Uncorrected formation energy: 0.0757 eV per atom
- Symmetry: Pm-3m, No. 221
- Distance to the lowest polymorph of the same formula: 568 meV/atom

---

No. 8
PBr2Cl | PBE-GGA | relaxed

Cell: 3.375 3.375 7.999 Å, 90.00 90.00 90.00°
Positions (direct):
Br 0.000 0.000 0.950
P 0.500 0.500 0.750
Br 0.000 0.000 0.550
Cl 0.500 0.500 0.250

- Uncorrected formation energy: 0.5650 eV per atom
- Symmetry: P4/mmm, No. 123
- Distance to the lowest polymorph of the same formula: 1034 meV/atom

---

No. 9
PBrCl | PBE-GGA | relaxed

Cell: 3.375 11.388 7.177 Å, 82.03 108.30 72.06°
Positions (direct):
P 0.702 0.892 0.913
Cl 0.432 0.952 0.603
P 0.488 0.616 0.910
Cl 0.759 0.555 0.220
Br 0.613 0.436 0.816
Br 0.576 0.074 0.006

- Uncorrected formation energy: -0.2385 eV per atom
- Symmetry: P1, No. 1
- Distance to the lowest polymorph of the same formula: 205 meV/atom

---

No. 10
P3BrCl12 | PBE-GGA | relaxed

Cell: 12.720 12.720 12.595 Å, 59.67 59.67 60.00°
Positions (direct):
Cl 0.340 0.934 0.614
P 0.139 0.518 0.507
Cl 0.612 0.434 0.114
Cl 0.154 0.020 0.064
P 0.337 0.018 0.007
Cl 0.762 0.154 0.064
Cl 0.022 0.739 0.818
Br 0.578 0.578 0.266
Cl 0.262 0.520 0.564
P 0.018 0.639 0.007
Cl 0.739 0.421 0.818
Cl 0.239 0.522 0.318
Cl 0.434 0.840 0.114
Cl 0.966 0.689 0.513
Cl 0.689 0.832 0.513
Br 0.078 0.078 0.766
Cl 0.522 0.921 0.318
P 0.639 0.337 0.007
Cl 0.112 0.340 0.614
P 0.837 0.139 0.507
Cl 0.332 0.189 0.013
Cl 0.189 0.466 0.013
Cl 0.654 0.262 0.564
Cl 0.921 0.239 0.318
Cl 0.466 0.332 0.013
Cl 0.832 0.966 0.513
Cl 0.934 0.112 0.614
Cl 0.020 0.762 0.064
Cl 0.520 0.654 0.564
P 0.518 0.837 0.507
Cl 0.421 0.022 0.818
Cl 0.840 0.612 0.114

- Uncorrected formation energy: -0.4977 eV per atom
- Symmetry: R3c, No. 161

---

No. 11
PBrCl2 | PBE-GGA | relaxed

Cell: 7.433 7.433 7.449 Å, 60.07 60.07 90.00°
Positions (direct):
Cl 0.374 0.125 0.250
P 0.500 0.500 0.000
Br 0.750 0.250 0.500
Cl 0.376 0.625 0.250
P 0.250 0.750 0.500
Cl 0.875 0.624 0.750
Br 0.000 0.000 0.000
Cl 0.375 0.626 0.750

- Uncorrected formation energy: 0.2171 eV per atom
- Symmetry: I4_1/amd, No. 141
- Distance to the lowest polymorph of the same formula: 637 meV/atom

---

No. 12
PBrCl2 | PBE-GGA | relaxed

Cell: 3.941 3.941 10.674 Å, 90.00 90.00 131.44°
Positions (direct):
P 0.500 0.500 0.250
Br 0.500 0.500 0.750
Cl 0.000 0.000 0.411
Cl 0.000 0.000 0.089

- Uncorrected formation energy: 0.1385 eV per atom
- Symmetry: Cmmm, No. 65
- Distance to the lowest polymorph of the same formula: 558 meV/atom